Compound: Er2TmAl9
Source: the Alexandria database
Functional: PBE
Structure: relaxed

The structure in extended XYZ format:
```
12
Lattice="4.231 0.000 0.000 0.000 4.231 0.000 0.000 0.000 12.692" Properties=species:S:1:pos:R:3 pbc="T T T"
Er 0.000 0.000 4.228
Er 0.000 0.000 8.464
Tm 0.000 0.000 0.000
Al 2.115 2.115 0.000
Al 2.115 2.115 4.230
Al 2.115 2.115 8.462
Al 2.115 0.000 2.109
Al 2.115 0.000 6.346
Al 2.115 0.000 10.583
Al 0.000 2.115 2.109
Al 0.000 2.115 6.346
Al 0.000 2.115 10.583
```

- size of the total moment (μB per atom) = 0.000
- raw total energy (eV per atom) = -4.354
- energy relative to the elements (eV per atom) = -0.414
- space-group type = P4/mmm (123)
- Fermi-level density of states (states/eV/cell) = 5.1